# 1
Compound: NaTlRuBr6
Source: the Alexandria database
Functional: GGA-PBE
Structure: optimized geometry

abc: 7.2741 7.2741 6.7359
angles: 90.02 89.98 59.92
Last column: magnetic moment on the atom in μB.
Fractional coordinates of all 9 atoms:
Tl1 0.0000 0.0001 0.0000  0.02
Br1 0.0465 0.3465 0.2821  0.06
Br2 0.0456 0.6079 0.7174  0.06
Br3 0.3467 0.6069 0.2821  0.06
Br4 0.6069 0.3468 0.7179  0.06
Na1 0.6663 0.6664 0.5000  0.00
Br5 0.3465 0.0465 0.7179  0.06
Br6 0.6078 0.0456 0.2826  0.06
Ru1 0.3333 0.3334 0.5000  1.35

Output
Symmetry: C2, No. 5

***

# 2
Compound: NaTl2RuBr6
Source: the Alexandria database
Functional: GGA-PBE
Structure: optimized geometry

abc: 7.8301 7.8345 7.4229
angles: 57.98 58.07 59.91
Last column: magnetic moment on the atom in μB.
Fractional coordinates of all 10 atoms:
Br1 0.0125 0.5283 0.2974  0.02
Br2 0.4706 0.6203 0.8017  0.02
Tl1 0.0766 0.0769 0.7689  0.01
Br3 0.1617 0.0121 0.3013  0.02
Ru1 0.3162 0.3161 0.0515  0.75
Br4 0.1050 0.4693 0.8048  0.02
Br5 0.5274 0.1630 0.2981  0.02
Tl2 0.5557 0.5554 0.3342  0.01
Br6 0.6199 0.1040 0.8057  0.02
Na1 0.8160 0.8161 0.5516  0.00

Output
Symmetry: P-1, No. 2

***

# 3
Compound: NaSBr3
Source: the Alexandria database
Functional: GGA-PBE
Structure: optimized geometry

abc: 5.5501 5.5501 5.5501
angles: 90.00 90.00 90.00
Last column: magnetic moment on the atom in μB.
Fractional coordinates of all 5 atoms:
S1 0.5000 0.5000 0.5000  1.38
Br1 0.0000 0.5000 0.0000  0.44
Br2 0.5000 0.0000 0.0000  0.44
Na1 0.0000 0.0000 0.0000  0.00
Br3 0.0000 0.0000 0.5000  0.44

Output
Symmetry: Pm-3m, No. 221
Energy relative to the lowest polymorph listed for this composition: 651 meV per atom

***

# 4
Compound: NaS6Br2
Source: the Alexandria database
Functional: GGA-PBE
Structure: optimized geometry

abc: 8.2802 8.6988 8.4040
angles: 151.36 76.21 115.20
Fractional coordinates of all 9 atoms:
S1 0.8464 0.5311 0.6923
Br1 0.3012 0.3770 0.7685
S2 0.1536 0.4689 0.3077
S3 0.9593 0.0727 0.8393
Na1 0.5000 0.0000 0.5000
S4 0.2564 0.2439 0.2418
S5 0.0407 0.9273 0.1607
Br2 0.6988 0.6230 0.2315
S6 0.7436 0.7561 0.7582

Output
Symmetry: P-1, No. 2

***

# 5
Compound: Na2SBr
Source: the Alexandria database
Functional: GGA-PBE
Structure: optimized geometry

abc: 7.7741 7.7741 6.3456
angles: 52.23 52.23 90.00
Fractional coordinates of all 8 atoms:
Na1 0.6012 0.1250 0.2500
S1 0.5000 0.5000 0.0000
Br1 0.0000 0.0000 0.0000
Na2 0.1488 0.6250 0.2500
Na3 0.8750 0.8512 0.7500
Br2 0.7500 0.2500 0.5000
S2 0.2500 0.7500 0.5000
Na4 0.3750 0.3988 0.7500

Output
Symmetry: I-42d, No. 122
Energy relative to the lowest polymorph listed for this composition: 86 meV per atom

***

# 6
Compound: Na2SBr
Source: the Alexandria database
Functional: GGA-PBE
Structure: optimized geometry

abc: 3.9816 3.9816 7.7853
angles: 75.18 75.18 60.00
Last column: magnetic moment on the atom in μB.
Fractional coordinates of all 4 atoms:
S1 0.0000 0.0000 0.0000  0.60
Na1 0.2485 0.2485 0.2544  0.00
Na2 0.7515 0.7515 0.7456  0.00
Br1 0.5000 0.5000 0.5000  0.01

Output
Symmetry: R-3m, No. 166
Energy relative to the lowest polymorph listed for this composition: 0 meV per atom

***

# 7
Compound: NaS3Br
Source: the Alexandria database
Functional: GGA-PBE
Structure: optimized geometry

abc: 5.2993 5.2993 5.2993
angles: 90.00 90.00 90.00
Last column: magnetic moment on the atom in μB.
Fractional coordinates of all 5 atoms:
Na1 0.0000 0.0000 0.0000  -0.01
S1 0.0000 0.0000 0.5000  1.03
S2 0.0000 0.5000 0.0000  1.09
Br1 0.5000 0.5000 0.5000  0.63
S3 0.5000 0.0000 0.0000  1.07

Output
Symmetry: Pm-3m, No. 221
Energy relative to the lowest polymorph listed for this composition: 469 meV per atom

***

# 8
Compound: NaSBr3
Source: the Alexandria database
Functional: GGA-PBE
Structure: optimized geometry

abc: 5.2593 5.2593 5.2593
angles: 90.00 90.00 90.00
Fractional coordinates of all 5 atoms:
Br1 0.5000 0.0000 0.0000
S1 0.0000 0.0000 0.0000
Br2 0.0000 0.5000 0.0000
Na1 0.5000 0.5000 0.5000
Br3 0.0000 0.0000 0.5000

Output
Symmetry: Pm-3m, No. 221
Energy relative to the lowest polymorph listed for this composition: 0 meV per atom

***

# 9
Compound: Na2SBr4
Source: the Alexandria database
Functional: GGA-PBE
Structure: optimized geometry

abc: 7.2329 7.2329 6.4834
angles: 123.90 123.90 90.00
Fractional coordinates of all 7 atoms:
Br1 0.7462 0.7462 0.0010
Br2 0.7452 0.2538 0.9990
Br3 0.2548 0.2548 0.0010
Br4 0.2538 0.7452 0.9990
Na1 0.2500 0.7500 0.5000
S1 0.5000 0.5000 0.0000
Na2 0.7500 0.2500 0.5000

Output
Symmetry: I4/mmm, No. 139

***

# 10
Compound: NaS8Br2
Source: the Alexandria database
Functional: GGA-PBE
Structure: optimized geometry

abc: 6.1927 10.1790 10.1790
angles: 34.80 112.78 112.78
Fractional coordinates of all 11 atoms:
Na1 0.0000 0.0000 0.0000
S1 0.7956 0.6378 0.6378
S2 0.2044 0.3622 0.3622
S3 0.0427 0.3966 0.8831
Br1 0.4455 0.1274 0.1274
S4 0.9573 0.1169 0.6034
S5 0.7236 0.3667 0.3667
S6 0.2764 0.6333 0.6333
Br2 0.5545 0.8726 0.8726
S7 0.9573 0.6034 0.1169
S8 0.0427 0.8831 0.3966

Output
Symmetry: C2/m, No. 12

***

# 11
Compound: NaS3Br
Source: the Alexandria database
Functional: GGA-PBE
Structure: optimized geometry

abc: 4.9571 4.9571 4.9571
angles: 90.00 90.00 90.00
Fractional coordinates of all 5 atoms:
S1 0.5000 0.0000 0.0000
S2 0.0000 0.0000 0.5000
Na1 0.5000 0.5000 0.5000
Br1 0.0000 0.0000 0.0000
S3 0.0000 0.5000 0.0000

Output
Symmetry: Pm-3m, No. 221
Energy relative to the lowest polymorph listed for this composition: 0 meV per atom

***

# 12
Compound: NaS4Br
Source: the Alexandria database
Functional: GGA-PBE
Structure: optimized geometry

abc: 4.8297 16.3555 8.5629
angles: 31.35 78.58 80.10
Fractional coordinates of all 12 atoms:
S1 0.5753 0.4367 0.6968
S2 0.1761 0.7355 0.1520
S3 0.8765 0.9200 0.6166
Br1 0.2536 0.6994 0.7014
S4 0.8239 0.2645 0.8480
S5 0.4036 0.9260 0.8658
S6 0.5964 0.0740 0.1342
Br2 0.7464 0.3006 0.2986
Na1 0.8112 0.6252 0.6621
S7 0.1235 0.0800 0.3834
Na2 0.1888 0.3748 0.3379
S8 0.4247 0.5633 0.3032

Output
Symmetry: P-1, No. 2

***

# 13
Compound: Na4SBr
Source: the Alexandria database
Functional: GGA-PBE
Structure: optimized geometry

abc: 4.8959 4.8974 7.1907
angles: 90.01 90.01 90.00
Fractional coordinates of all 6 atoms:
S1 0.0014 0.9972 0.4980
Br1 0.5013 0.4973 0.9983
Na1 0.5014 0.9974 0.7179
Na2 0.0014 0.4975 0.7179
Na3 0.5012 0.9971 0.2784
Na4 0.0012 0.4972 0.2784

Output
Symmetry: P4/mmm, No. 123

***

# 14
Compound: Na2SBr6
Source: the Alexandria database
Functional: GGA-PBE
Structure: optimized geometry

abc: 7.0346 7.3643 10.0844
angles: 90.00 91.23 90.00
Fractional coordinates of all 18 atoms:
Br1 0.7112 0.1858 0.5588
Br2 0.6778 0.2104 0.9525
Br3 0.2888 0.8142 0.4412
Br4 0.1778 0.2896 0.4525
Br5 0.3222 0.7896 0.0475
Br6 0.3867 0.5150 0.7610
Br7 0.2112 0.3142 0.0588
Na1 0.9711 0.4017 0.7665
Na2 0.0289 0.5983 0.2335
S1 0.0000 0.0000 0.5000
Na3 0.4711 0.0983 0.2665
S2 0.5000 0.5000 0.0000
Br8 0.1133 0.0150 0.7390
Br9 0.8222 0.7104 0.5475
Br10 0.8867 0.9850 0.2610
Br11 0.7888 0.6858 0.9412
Br12 0.6133 0.4850 0.2390
Na4 0.5289 0.9017 0.7335

Output
Symmetry: P2_1/c, No. 14

***

# 15
Compound: Na2SBr
Source: the Alexandria database
Functional: GGA-PBE
Structure: optimized geometry

abc: 5.0753 5.0753 5.0753
angles: 60.00 60.00 60.00
Last column: magnetic moment on the atom in μB.
Fractional coordinates of all 4 atoms:
Na1 0.7500 0.7500 0.7500  0.00
S1 0.0000 0.0000 0.0000  0.45
Br1 0.5000 0.5000 0.5000  0.21
Na2 0.2500 0.2500 0.2500  0.00

Output
Symmetry: Fm-3m, No. 225
Energy relative to the lowest polymorph listed for this composition: 114 meV per atom

***

# 16
Compound: Na2SbSBr
Source: the Alexandria database
Functional: GGA-PBE
Structure: optimized geometry

abc: 5.1327 5.6191 5.1327
angles: 90.00 90.00 90.00
Fractional coordinates of all 5 atoms:
S1 0.0000 0.0000 0.0000
Br1 0.0000 0.5000 0.0000
Na1 0.5000 0.0000 0.0000
Na2 0.0000 0.0000 0.5000
Sb1 0.5000 0.5000 0.5000

Output
Symmetry: P4/mmm, No. 123

***

# 17
Compound: NaSmSBr
Source: the Alexandria database
Functional: GGA-PBE
Structure: optimized geometry

abc: 3.9787 3.9784 7.8462
angles: 90.04 104.68 120.00
Fractional coordinates of all 4 atoms:
Br1 0.9596 0.3782 0.3525
Na1 0.4995 0.1472 0.6626
S1 0.3053 0.5505 0.8712
Sm1 0.1135 0.9549 0.0834

Output
Symmetry: R3m, No. 160

***

# 18
Compound: NaSrSBr2
Source: the Alexandria database
Functional: GGA-PBE
Structure: optimized geometry

abc: 5.6989 15.7377 5.6989
angles: 90.00 90.00 90.00
Last column: magnetic moment on the atom in μB.
Fractional coordinates of all 5 atoms:
Br1 0.5000 0.0000 0.0000  0.00
Sr1 0.0000 0.0000 0.0000  0.00
Br2 0.0000 0.0000 0.5000  0.00
S1 0.5000 0.5000 0.5000  0.54
Na1 0.0000 0.5000 0.0000  0.00

Output
Symmetry: P4/mmm, No. 123
Energy relative to the lowest polymorph listed for this composition: 271 meV per atom

***

# 19
Compound: NaSrSBr
Source: the Alexandria database
Functional: GGA-PBE
Structure: optimized geometry

abc: 4.3192 4.3192 7.5234
angles: 73.32 73.32 60.00
Fractional coordinates of all 4 atoms:
Na1 0.5135 0.5135 0.4596
Sr1 0.9871 0.9871 0.0387
S1 0.2504 0.2504 0.2488
Br1 0.7490 0.7490 0.7529

Output
Symmetry: R3m, No. 160

***

# 20
Compound: NaSrSBr2
Source: the Alexandria database
Functional: GGA-PBE
Structure: optimized geometry

abc: 5.2929 5.2745 5.2929
angles: 90.00 90.00 90.00
Last column: magnetic moment on the atom in μB.
Fractional coordinates of all 5 atoms:
Na1 0.0000 0.0000 0.0000  0.01
Br1 0.5000 0.0000 0.0000  0.10
S1 0.0000 0.5000 0.0000  0.47
Br2 0.0000 0.0000 0.5000  0.07
Sr1 0.5000 0.5000 0.5000  0.00

Output
Symmetry: P4/mmm, No. 123
Energy relative to the lowest polymorph listed for this composition: 0 meV per atom

***

# 21
Compound: Na5TaS4Br2
Source: the Alexandria database
Functional: GGA-PBE
Structure: optimized geometry

abc: 6.9786 6.6579 8.3982
angles: 90.00 90.00 121.61
Fractional coordinates of all 12 atoms:
Br1 0.3486 0.3821 0.5000
S1 0.3844 0.3240 0.0000
Na1 0.7013 0.6160 0.7632
Na2 0.4163 0.0000 0.5000
Na3 0.0853 0.3840 0.7632
S2 0.0604 0.6760 0.0000
Na4 0.7013 0.6160 0.2368
S3 0.6176 0.0000 0.7818
S4 0.6176 0.0000 0.2182
Na5 0.0853 0.3840 0.2368
Br2 0.9664 0.6179 0.5000
Ta1 0.4211 0.0000 0.0000

Output
Symmetry: Amm2, No. 38

***

# 22
Compound: Na2US2Br2
Source: the Alexandria database
Functional: GGA-PBE
Structure: optimized geometry

abc: 5.2744 5.2744 8.3931
angles: 108.31 108.31 90.00
Last column: magnetic moment on the atom in μB.
Fractional coordinates of all 7 atoms:
S1 0.5000 0.0000 0.0000  -0.06
Br1 0.8118 0.8118 0.6237  -0.02
Na1 0.6177 0.6177 0.2353  0.00
Br2 0.1882 0.1882 0.3763  -0.02
U1 0.0000 0.0000 0.0000  2.06
Na2 0.3823 0.3823 0.7647  0.00
S2 0.0000 0.5000 0.0000  -0.06

Output
Symmetry: I4/mmm, No. 139

***

# 23
Compound: NaYSBr2
Source: the Alexandria database
Functional: GGA-PBE
Structure: optimized geometry

abc: 4.8115 6.6387 4.8115
angles: 90.00 90.00 90.00
Fractional coordinates of all 5 atoms:
Na1 0.0000 0.0000 0.0000
Br1 0.5000 0.0000 0.0000
Br2 0.0000 0.0000 0.5000
Y1 0.0000 0.5000 0.0000
S1 0.5000 0.5000 0.5000

Output
Symmetry: P4/mmm, No. 123

***

# 24
Compound: Na2SbBr
Source: the Alexandria database
Functional: GGA-PBE
Structure: optimized geometry

abc: 5.5221 5.5221 5.5221
angles: 60.00 60.00 60.00
Last column: magnetic moment on the atom in μB.
Fractional coordinates of all 4 atoms:
Na1 0.2500 0.2500 0.2500  0.01
Br1 0.0000 0.0000 0.0000  0.24
Sb1 0.5000 0.5000 0.5000  0.62
Na2 0.7500 0.7500 0.7500  0.01

Output
Symmetry: Fm-3m, No. 225
Energy relative to the lowest polymorph listed for this composition: 399 meV per atom

***

# 25
Compound: Na2SbBr
Source: the Alexandria database
Functional: GGA-PBE
Structure: optimized geometry

abc: 8.2609 8.2609 6.7765
angles: 52.44 52.44 90.00
Fractional coordinates of all 8 atoms:
Na1 0.1548 0.6250 0.2500
Na2 0.5952 0.1250 0.2500
Sb1 0.0000 0.0000 0.0000
Br1 0.2500 0.7500 0.5000
Br2 0.5000 0.5000 0.0000
Sb2 0.7500 0.2500 0.5000
Na3 0.8750 0.8452 0.7500
Na4 0.3750 0.4048 0.7500

Output
Symmetry: I-42d, No. 122
Energy relative to the lowest polymorph listed for this composition: 288 meV per atom

***

# 26
Compound: NaSb3Br
Source: the Alexandria database
Functional: GGA-PBE
Structure: optimized geometry

abc: 5.6265 5.6265 5.6265
angles: 90.00 90.00 90.00
Fractional coordinates of all 5 atoms:
Br1 0.0000 0.0000 0.0000
Sb1 0.0000 0.0000 0.5000
Na1 0.5000 0.5000 0.5000
Sb2 0.5000 0.0000 0.0000
Sb3 0.0000 0.5000 0.0000

Output
Symmetry: Pm-3m, No. 221
Energy relative to the lowest polymorph listed for this composition: 0 meV per atom

***

Results for total DFT energy (no corrections): -3.20, -3.25, -1.84, -3.49, -2.95, -3.04, -2.09, -2.49, -2.70, -3.44, -2.55, -3.56, -2.74, -2.49, -2.92, -2.63, -4.48, -2.89, -3.97, -3.16, -4.45, -4.97, -3.32, -2.51, -2.62, -2.46 (in eV/atom, following the order of the records).